A plane-wave DFT calculation with PBE was carried out for SrZr2Au2 after structural relaxation.

a = 8.612 Å, b = 8.612 Å, c = 3.115 Å
α = 90.00°, β = 90.00°, γ = 90.00°
Space group P4/mbm (No. 127)
One atom of each set of equivalent atoms:
Sr  0.000  0.000  0.000
Zr  0.123  0.377  0.000
Au  0.173  0.673  0.500

Calculated values
ΔH_f (0 K) = -0.280 eV per atom
Distance to the lowest polymorph of the same formula = 0.052 eV/atom